This record from Alexandria via LeMat-Bulk describes crystalline Zr2NbSbH at its relaxed geometry. The functional is PBE-GGA.

Output
Total moment ... 0.0 μB/f.u.
E ... -36.735 eV per cell

Structure (CIF):
```
data_Zr2NbSbH
_chemical_formula_sum 'Zr2 Nb1 Sb1 H1'
_symmetry_space_group_name_H-M 'P 4/m m m'
_symmetry_Int_Tables_number 123
_symmetry_space_group_name_Hall '-P 4 2'
_cell_length_a 4.598
_cell_length_b 4.598
_cell_length_c 4.032
_cell_angle_alpha 90.00
_cell_angle_beta 90.00
_cell_angle_gamma 90.00
loop_
_atom_site_label
_atom_site_fract_x
_atom_site_fract_y
_atom_site_fract_z
_atom_site_occupancy
Zr1 0.000 0.500 0.000 1
Nb1 0.000 0.000 0.500 1
Sb1 0.500 0.500 0.500 1
H1 0.000 0.000 0.000 1
```